The following is a GGA-PBE calculation of CdFe2Tc after structural relaxation, from the Alexandria database.

## Properties
Space-group type: R3m (160)
Energy: -6.733 eV per atom

a b c (Å): 8.8822 8.8822 8.8822
angles (deg): 18.10 18.10 18.10
Positions (direct):
Cd1 0.0000 0.0000 0.0000
Fe1 0.4960 0.4960 0.4960
Fe2 0.7581 0.7581 0.7581
Tc1 0.2376 0.2376 0.2376

---

The following is a GGA-PBE calculation of Sr3Ac3ScS8 after structural relaxation, from the Alexandria database.

## Properties
Space-group type: R-3m (166)
Formation energy from raw total energies: -2.04 eV/atom

a b c (Å): 8.5206 8.5206 8.5206
angles (deg): 59.42 59.42 59.42
Positions (direct):
Sr1 0.0000 0.5000 0.5000
Sr2 0.5000 0.0000 0.5000
Sr3 0.5000 0.5000 0.0000
Ac1 0.0000 0.0000 0.5000
Ac2 0.0000 0.5000 0.0000
Ac3 0.5000 0.0000 0.0000
Sc1 0.5000 0.5000 0.5000
S1 0.2519 0.2519 0.2519
S2 0.2751 0.7243 0.7243
S3 0.2757 0.2757 0.7249
S4 0.2757 0.7249 0.2757
S5 0.7243 0.2751 0.7243
S6 0.7243 0.7243 0.2751
S7 0.7249 0.2757 0.2757
S8 0.7481 0.7481 0.7481

---

The following is a GGA-PBE calculation of HfGa5Co6 after structural relaxation, from the Alexandria database.

## Properties
Space-group type: P2/m (10)
Energy: -5.982 eV per atom

a b c (Å): 4.1528 5.8329 6.5634
angles (deg): 90.00 108.38 90.00
Positions (direct):
Hf1 0.0000 0.0000 0.0000
Ga1 0.0000 0.5000 0.0000
Ga2 0.3348 0.0000 0.6695
Ga3 0.3347 0.5000 0.6694
Ga4 0.6652 0.0000 0.3305
Ga5 0.6653 0.5000 0.3306
Co1 0.1713 0.2556 0.3426
Co2 0.1713 0.7444 0.3426
Co3 0.5000 0.2641 0.0000
Co4 0.5000 0.7359 0.0000
Co5 0.8287 0.2556 0.6574
Co6 0.8287 0.7444 0.6574

---

The following is a GGA-PBE calculation of TiPb2F after structural relaxation, from the Alexandria database.

## Properties
Space-group type: I-42d (122)
Energy above the lowest structure with this stoichiometry: 118.4 meV per atom
Formation energy from raw total energies: -0.12 eV/atom

a b c (Å): 10.5903 10.5903 10.5903
angles (deg): 156.13 156.13 34.02
Positions (direct):
Ti1 0.0000 0.0000 0.0000
Ti2 0.7500 0.2500 0.5000
Pb1 0.1278 0.6250 0.0028
Pb2 0.3750 0.3778 0.5028
Pb3 0.6222 0.1250 0.9972
Pb4 0.8750 0.8722 0.4972
F1 0.2500 0.7500 0.5000
F2 0.5000 0.5000 0.0000

---

The following is a GGA-PBE calculation of La2ZrRu2 after structural relaxation, from the Alexandria database.

## Properties
Space-group type: I4/mmm (139)
Energy above the lowest structure with this stoichiometry: 543.9 meV per atom

a b c (Å): 6.5570 6.5570 6.5570
angles (deg): 138.91 138.91 59.50
Positions (direct):
La1 0.2500 0.7500 0.5000
La2 0.7500 0.2500 0.5000
Zr1 0.0000 0.0000 0.0000
Ru1 0.3906 0.3906 0.0000
Ru2 0.6094 0.6094 0.0000

---

The following is a GGA-PBE calculation of CaAgBiPd after structural relaxation, from the Alexandria database.

## Properties
Space-group type: F-43m (216)
Energy: -3.931 eV per atom

a b c (Å): 5.0154 5.0154 5.0154
angles (deg): 60.00 60.00 60.00
Positions (direct):
Ca1 0.0000 0.0000 0.0000
Ag1 0.2500 0.2500 0.2500
Bi1 0.5000 0.5000 0.5000
Pd1 0.7500 0.7500 0.7500

---

The following is a GGA-PBE calculation of HfMgIn after structural relaxation, from the Alexandria database.

## Properties
Space-group type: Cmcm (63)
Energy: -4.629 eV per atom

a b c (Å): 8.2882 8.2882 5.4487
angles (deg): 90.00 90.00 158.81
Positions (direct):
Hf1 0.1769 0.8231 0.7500
Hf2 0.8231 0.1769 0.2500
Mg1 0.0000 0.0000 0.0000
Mg2 0.0000 0.0000 0.5000
In1 0.3554 0.6446 0.7500
In2 0.6446 0.3554 0.2500

---

The following is a GGA-PBE calculation of ZnRe2Ir2 after structural relaxation, from the Alexandria database.

## Properties
Space-group type: P4/mbm (127)
Energy above the lowest structure with this stoichiometry: 16.2 meV per atom

a b c (Å): 7.6443 7.6443 2.7261
angles (deg): 90.00 90.00 90.00
Positions (direct):
Zn1 0.0000 0.0000 0.0000
Zn2 0.5000 0.5000 0.0000
Re1 0.1708 0.3292 0.5000
Re2 0.3292 0.8292 0.5000
Re3 0.6708 0.1708 0.5000
Re4 0.8292 0.6708 0.5000
Ir1 0.1242 0.6242 0.0000
Ir2 0.3758 0.1242 0.0000
Ir3 0.6242 0.8758 0.0000
Ir4 0.8758 0.3758 0.0000

---

The following is a GGA-PBE calculation of Sc3In2 after structural relaxation, from the Alexandria database.

## Properties
Space-group type: Fdd2 (43)
Energy above the lowest structure with this stoichiometry: 63.2 meV per atom

a b c (Å): 8.0174 6.0587 9.1270
angles (deg): 59.74 40.75 79.51
Positions (direct):
Sc1 0.0000 0.0000 0.0000
Sc2 0.2500 0.2500 0.2500
Sc3 0.3646 0.6579 0.4375
Sc4 0.6579 0.3646 0.5400
Sc5 0.7100 0.8125 0.5921
Sc6 0.8125 0.7100 0.8854
In1 0.1204 0.4689 0.9749
In2 0.2751 0.8142 0.1296
In3 0.4689 0.1204 0.4358
In4 0.8142 0.2751 0.7811

---

The following is a GGA-PBE calculation of InMoPb after structural relaxation, from the Alexandria database.

## Properties
Space-group type: I4mm (107)
Energy above the lowest structure with this stoichiometry: 0.0 meV per atom

a b c (Å): 5.4978 5.4978 5.4978
angles (deg): 141.67 141.67 55.32
Positions (direct):
In1 0.0000 0.0000 0.0000
Mo1 0.3469 0.3469 0.0000
Pb1 0.6891 0.6891 0.0000

---

The following is a GGA-PBE calculation of YNbCr3 after structural relaxation, from the Alexandria database.

## Properties
Space-group type: Pm-3m (221)
Energy above the lowest structure with this stoichiometry: 0.0 meV per atom

a b c (Å): 4.7418 4.7418 4.7418
angles (deg): 90.00 90.00 90.00
Positions (direct):
Y1 0.0000 0.0000 0.0000
Nb1 0.5000 0.5000 0.5000
Cr1 0.0000 0.5000 0.5000
Cr2 0.5000 0.0000 0.5000
Cr3 0.5000 0.5000 0.0000

---

The following is a GGA-PBE calculation of Tm5CdSe4 after structural relaxation, from the Alexandria database.

## Properties
Space-group type: I4/m (87)
Formation energy from raw total energies: -1.37 eV/atom

a b c (Å): 7.0652 7.0652 7.0652
angles (deg): 99.59 99.59 131.81
Positions (direct):
Tm1 0.0000 0.0000 0.0000
Tm2 0.1974 0.3987 0.5960
Tm3 0.3987 0.8026 0.2013
Tm4 0.6013 0.1974 0.7987
Tm5 0.8026 0.6013 0.4040
Cd1 0.5000 0.5000 0.0000
Se1 0.0990 0.6968 0.7958
Se2 0.3032 0.0990 0.4023
Se3 0.6968 0.9010 0.5977
Se4 0.9010 0.3032 0.2042